YZr3Cr: optimized geometry, PBE.

Lattice parameters (Å, degrees): 4.973 4.973 4.973 90.00 90.00 90.00
Positions (direct):
Y 0.000 0.000 0.000
Zr 0.000 0.500 0.500
Zr 0.500 0.000 0.500
Zr 0.500 0.500 0.000
Cr 0.500 0.500 0.500

Summary:
E above lowest polymorph, meV per atom: 0

---

YZrCr2: optimized geometry, PBE.

Lattice parameters (Å, degrees): 3.207 4.332 6.044 90.00 90.00 90.00
Positions (direct):
Y 0.000 0.000 0.000
Zr 0.500 0.500 0.330
Cr 0.000 0.000 0.502
Cr 0.500 0.500 0.779

Summary:
E above lowest polymorph, meV per atom: 324

---

YZr2Cr: optimized geometry, PBE.

Lattice parameters (Å, degrees): 5.922 5.922 5.922 146.52 128.03 63.25
Positions (direct):
Y 0.000 0.000 0.000
Zr 0.291 0.791 0.500
Zr 0.709 0.209 0.500
Cr 0.500 0.500 0.000

Summary:
E above lowest polymorph, meV per atom: 11

---

YZr2Cr: optimized geometry, PBE.

Lattice parameters (Å, degrees): 3.281 3.281 8.325 90.00 90.00 90.00
Positions (direct):
Y 0.000 0.000 0.000
Zr 0.500 0.500 0.315
Zr 0.500 0.500 0.685
Cr 0.000 0.000 0.500

Summary:
E above lowest polymorph, meV per atom: 3

---

YZr2Cr: optimized geometry, PBE.

Lattice parameters (Å, degrees): 9.690 9.690 9.690 19.60 19.60 19.60
Positions (direct):
Y 0.000 0.000 0.000
Zr 0.232 0.232 0.232
Zr 0.768 0.768 0.768
Cr 0.500 0.500 0.500

Summary:
E above lowest polymorph, meV per atom: 135

---

YZrCr3: optimized geometry, PBE.

Lattice parameters (Å, degrees): 4.819 4.819 4.819 90.00 90.00 90.00
Positions (direct):
Y 0.000 0.000 0.000
Zr 0.500 0.500 0.500
Cr 0.000 0.500 0.500
Cr 0.500 0.000 0.500
Cr 0.500 0.500 0.000

Summary:
E above lowest polymorph, meV per atom: 0

---

YZr2Cr: optimized geometry, PBE.

Lattice parameters (Å, degrees): 3.422 3.422 7.661 90.00 90.00 90.00
Positions (direct):
Y 0.000 0.000 0.000
Zr 0.000 0.000 0.571
Zr 0.500 0.500 0.315
Cr 0.500 0.500 0.751

Summary:
E above lowest polymorph, meV per atom: 29

---

YZrCr2: optimized geometry, PBE.

Lattice parameters (Å, degrees): 4.801 4.801 4.801 60.00 60.00 60.00
Positions (direct):
Y 0.000 0.000 0.000
Zr 0.500 0.500 0.500
Cr 0.250 0.250 0.250
Cr 0.750 0.750 0.750

Summary:
E above lowest polymorph, meV per atom: 104

---

YZrCr4: optimized geometry, PBE.

Lattice parameters (Å, degrees): 5.128 5.128 5.128 60.00 60.00 60.00
Positions (direct):
Y 0.000 0.000 0.000
Zr 0.750 0.750 0.750
Cr 0.375 0.375 0.375
Cr 0.375 0.375 0.875
Cr 0.375 0.875 0.375
Cr 0.875 0.375 0.375

Summary:
Raw total energy, eV per atom: -8.73

---

YZrCr2: optimized geometry, PBE.

Lattice parameters (Å, degrees): 4.848 4.848 5.857 99.80 99.80 38.48
Positions (direct):
Y 0.000 0.000 0.000
Zr 0.500 0.500 0.500
Cr 0.243 0.243 0.707
Cr 0.757 0.757 0.293

Summary:
E above lowest polymorph, meV per atom: 343

---

YZr2Cr: optimized geometry, PBE.

Lattice parameters (Å, degrees): 10.150 10.150 10.150 18.49 18.49 18.49
Positions (direct):
Y 0.000 0.000 0.000
Zr 0.514 0.514 0.514
Zr 0.761 0.761 0.761
Cr 0.252 0.252 0.252

Summary:
E above lowest polymorph, meV per atom: 165

---

ZnCr3: optimized geometry, PBE.

Lattice parameters (Å, degrees): 4.135 4.135 3.007 90.00 90.00 90.00
Positions (direct):
Zn 0.000 0.000 0.000
Cr 0.000 0.500 0.500
Cr 0.500 0.000 0.500
Cr 0.500 0.500 0.000

Summary:
Raw total energy, eV per atom: -7.30

---

Computed values of size of the total moment (unit: μB/atom) for the preceding records, in sequence: 0.000, 1.485, 0.390, 0.212, 0.000, 1.778, 0.506, 1.213, 0.000, 1.391, 0.711, 0.649.